Compound: Li2CuMoF8
Source: Alexandria via LeMat-Bulk
Functional: PBE with a Hubbard U
Structure: optimized geometry

Values from the calculation:
uncorrected energy	-4.914	eV per atom

Structure (CIF):
```
data_Li2CuMoF8
_chemical_formula_sum 'Li2 Cu1 Mo1 F8'
_cell_length_a 4.730
_cell_length_b 4.736
_cell_length_c 6.517
_cell_angle_alpha 87.56
_cell_angle_beta 87.62
_cell_angle_gamma 86.93
_space_group_name_H-M_alt 'P -1'
_space_group_IT_number 2
loop_
_space_group_symop_operation_xyz
'x,y,z'
'-x,-y,-z'
loop_
_atom_site_label
_atom_site_type_symbol
_atom_site_fract_x
_atom_site_fract_y
_atom_site_fract_z
_atom_site_occupancy
Li1 Li 0.007 0.006 0.225 1
Cu1 Cu 0.500 0.500 0.000 1
Mo1 Mo 0.500 0.500 0.500 1
F1 F 0.199 0.803 0.499 1
F2 F 0.211 0.790 0.000 1
F3 F 0.287 0.289 0.717 1
F4 F 0.317 0.319 0.256 1
```